AcSnPdAu | PBE-GGA | optimized geometry

Formation enthalpy at 0 K in eV/atom: -0.652
Energy in eV/atom: -4.798

Cell lengths 7.318, 7.318, 7.318 Å; angles 90.00, 90.00, 90.00 degrees
Space group F-43m (No. 216)
Asymmetric unit:
1 Ac 0.000 0.000 0.000 [4 per cell]
2 Sn 0.000 0.000 0.500 [4 per cell]
3 Pd 0.250 0.250 0.250 [4 per cell]
4 Au 0.250 0.250 0.750 [4 per cell]

Pr2ThAu | PBE-GGA | optimized geometry

Energy above the most stable polymorph in this dataset in meV/atom: 133.1
Formation enthalpy at 0 K in eV/atom: -0.218
Energy in eV/atom: -5.282

Cell lengths 3.7256, 3.7256, 31.0248 Å; angles 90.00, 90.00, 120.00 degrees
Space group R-3m (No. 166, hexagonal axes)
Asymmetric unit:
1 Pr 0.0000 0.0000 0.2401 [6 per cell]
2 Th 0.0000 0.0000 0.0000 [3 per cell]
3 Au 0.0000 0.0000 0.5000 [3 per cell]

PaBeTe | PBE-GGA | optimized geometry

Uncorrected formation energy in eV per atom: -0.21
Energy in eV/atom: -5.660

Cell lengths 6.274, 4.009, 12.094 Å; angles 90.00, 99.73, 90.00 degrees
Space group C2/m (No. 12)
Asymmetric unit:
1 Pa 0.051 0.000 0.156 [4 per cell]
2 Be 0.167 0.500 0.000 [4 per cell]
3 Te 0.113 0.500 0.342 [4 per cell]

Tb4CuTc | PBE-GGA | optimized geometry

Formation enthalpy at 0 K in eV/atom: -0.119
Energy in eV/atom: -5.616

Cell lengths 8.201, 12.372, 6.321 Å; angles 90.00, 104.65, 90.00 degrees
Space group C2/c (No. 15)
Asymmetric unit:
1 Tb 0.103 0.175 0.035 [8 per cell]
2 Tb 0.202 0.424 0.423 [8 per cell]
3 Cu 0.000 0.372 0.750 [4 per cell]
4 Tc 0.000 0.001 0.250 [4 per cell]

Going through the records in order, we get total magnetic moment values of 0.000 0.000 0.000 0.000 μB/f.u..